(1)
VASP calculation (PBE) on Tl2IO2 after structural relaxation.

Calculated values
Formation energy from raw total energies, eV per atom: -0.49
SG: No. 12
Energy above the lowest structure with this stoichiometry, meV/atom: 0
DFT total energy, eV/atom: -3.732
ρ, g cm⁻³: 6.62

abc: 4.265 4.265 11.652
angles: 121.53 121.53 90.16
Atoms (fractional coordinates):
Tl (0.572, 0.572, 0.376)
Tl (0.428, 0.428, 0.624)
I (0.000, 0.000, 0.000)
O (0.249, 0.751, 0.500)
O (0.751, 0.249, 0.500)



(2)
VASP calculation (PBE) on NdZnNiGe2 after structural relaxation.

Calculated values
SG: No. 119
DFT total energy, eV/atom: -4.791
ρ, g cm⁻³: 7.66
Energy of formation from the pure elements, kJ per mole of atoms: -55.9

abc: 4.136 4.136 6.003
angles: 110.15 110.15 90.00
Atoms (fractional coordinates):
Nd (0.000, 0.000, 0.000)
Zn (0.250, 0.750, 0.500)
Ni (0.750, 0.250, 0.500)
Ge (0.622, 0.622, 0.243)
Ge (0.378, 0.378, 0.757)



(3)
VASP calculation (PBE) on LaTc2Pt after structural relaxation.

Calculated values
SG: No. 139
Energy above the lowest structure with this stoichiometry, meV/atom: 440
DFT total energy, eV/atom: -7.614
ρ, g cm⁻³: 11.94
Energy of formation from the pure elements, kJ per mole of atoms: 30.0

abc: 5.211 5.211 5.211
angles: 133.26 133.26 68.25
Atoms (fractional coordinates):
La (0.250, 0.750, 0.500)
Pt (0.750, 0.250, 0.500)
Tc (0.000, 0.000, 0.000)
Tc (0.500, 0.500, 0.000)



(4)
VASP calculation (PBE) on Mg2Fe2Co after structural relaxation.

Calculated values
SG: No. 127
Energy above the lowest structure with this stoichiometry, meV/atom: 0
DFT total energy, eV/atom: -5.199
ρ, g cm⁻³: 4.85
Energy of formation from the pure elements, kJ per mole of atoms: 23.7

abc: 5.917 5.917 4.286
angles: 90.00 90.00 90.00
Site moments in Bohr magnetons follow the coordinates.
Atoms (fractional coordinates):
Mg (0.175, 0.675, 0.500)  -0.03
Mg (0.675, 0.825, 0.500)  -0.03
Mg (0.825, 0.325, 0.500)  -0.03
Mg (0.325, 0.175, 0.500)  -0.03
Co (0.000, 0.000, 0.000)  1.39
Co (0.500, 0.500, 0.000)  1.41
Fe (0.367, 0.867, 0.000)  2.08
Fe (0.867, 0.633, 0.000)  2.14
Fe (0.633, 0.133, 0.000)  2.08
Fe (0.133, 0.367, 0.000)  2.14



(5)
VASP calculation (PBE) on Y2NpIr9 after structural relaxation.

Calculated values
SG: No. 166
DFT total energy, eV/atom: -9.287
ρ, g cm⁻³: 16.66
Energy of formation from the pure elements, kJ per mole of atoms: -46.9

abc: 5.302 5.302 9.301
angles: 73.44 73.44 60.00
Site moments in Bohr magnetons follow the coordinates.
Atoms (fractional coordinates):
Y (0.860, 0.860, 0.420)  0.02
Y (0.140, 0.140, 0.580)  0.02
Np (0.000, 0.000, 0.000)  3.42
Ir (0.667, 0.667, 0.000)  -0.23
Ir (0.333, 0.333, 0.000)  -0.23
Ir (0.500, 0.500, 0.500)  -0.05
Ir (0.418, 0.418, 0.246)  -0.06
Ir (0.917, 0.418, 0.246)  -0.06
Ir (0.418, 0.917, 0.246)  -0.06
Ir (0.582, 0.582, 0.754)  -0.06
Ir (0.582, 0.083, 0.754)  -0.06
Ir (0.083, 0.582, 0.754)  -0.06



(6)
VASP calculation (PBE) on HoAlSiO5 after structural relaxation.

Calculated values
Formation energy from raw total energies, eV per atom: -3.14
SG: No. 15
DFT total energy, eV/atom: -7.957
ρ, g cm⁻³: 5.72

abc: 5.387 5.387 6.747
angles: 103.22 103.22 106.03
Atoms (fractional coordinates):
Ho (0.323, 0.677, 0.250)
Ho (0.677, 0.323, 0.750)
Al (0.000, 0.000, 0.500)
Al (0.000, 0.000, 0.000)
Si (0.675, 0.325, 0.250)
Si (0.325, 0.675, 0.750)
O (0.073, 0.927, 0.250)
O (0.927, 0.073, 0.750)
O (0.892, 0.320, 0.112)
O (0.108, 0.680, 0.888)
O (0.680, 0.108, 0.388)
O (0.320, 0.892, 0.612)
O (0.740, 0.624, 0.420)
O (0.260, 0.376, 0.580)
O (0.376, 0.260, 0.080)
O (0.624, 0.740, 0.920)



(7)
VASP calculation (PBE) on Ba4PI4 after structural relaxation.

Calculated values
Formation energy from raw total energies, eV per atom: -1.54
SG: No. 12
DFT total energy, eV/atom: -3.682
ρ, g cm⁻³: 4.30

abc: 4.862 8.616 10.940
angles: 75.63 77.16 73.61
Atoms (fractional coordinates):
Ba (0.315, 0.097, 0.273)
Ba (0.685, 0.903, 0.727)
Ba (0.918, 0.254, 0.910)
Ba (0.082, 0.746, 0.090)
P (0.500, 0.000, 0.000)
I (0.694, 0.413, 0.198)
I (0.892, 0.808, 0.408)
I (0.306, 0.587, 0.802)
I (0.108, 0.192, 0.592)



(8)
VASP calculation (PBE) on Na5Tl12Pb2 after structural relaxation.

Calculated values
SG: No. 12
Energy above the lowest structure with this stoichiometry, meV/atom: 0
DFT total energy, eV/atom: -2.243
ρ, g cm⁻³: 8.45
Energy of formation from the pure elements, kJ per mole of atoms: -1.1

abc: 6.037 8.839 11.843
angles: 111.91 91.85 90.00
Atoms (fractional coordinates):
Na (0.587, 0.271, 0.542)
Na (0.057, 0.360, 0.720)
Na (0.500, 0.000, 0.000)
Na (0.943, 0.640, 0.280)
Na (0.413, 0.729, 0.458)
Tl (0.074, 0.079, 0.158)
Tl (0.832, 0.972, 0.586)
Tl (0.832, 0.613, 0.586)
Tl (0.363, 0.057, 0.733)
Tl (0.363, 0.676, 0.733)
Tl (0.563, 0.431, 0.862)
Tl (0.437, 0.569, 0.138)
Tl (0.637, 0.943, 0.267)
Tl (0.637, 0.324, 0.267)
Tl (0.168, 0.028, 0.414)
Tl (0.168, 0.387, 0.414)
Tl (0.926, 0.921, 0.842)
Pb (0.000, 0.686, 0.000)
Pb (0.000, 0.314, 0.000)



(9)
VASP calculation (PBE) on Pm5Nd4Y after structural relaxation.

Calculated values
SG: No. 12
Energy above the lowest structure with this stoichiometry, meV/atom: 0
DFT total energy, eV/atom: -4.916
ρ, g cm⁻³: 6.68
Energy of formation from the pure elements, kJ per mole of atoms: 1.2

abc: 3.659 7.308 13.193
angles: 98.05 97.97 90.00
Atoms (fractional coordinates):
Pm (0.700, 0.600, 0.400)
Pm (0.901, 0.200, 0.802)
Pm (0.099, 0.800, 0.198)
Pm (0.500, 0.500, 0.000)
Pm (0.300, 0.400, 0.600)
Nd (0.300, 0.901, 0.601)
Nd (0.901, 0.700, 0.801)
Nd (0.700, 0.099, 0.399)
Nd (0.099, 0.300, 0.199)
Y (0.500, 0.000, 0.000)



(10)
VASP calculation (PBE) on CrNi after structural relaxation.

Calculated values
SG: No. 176
DFT total energy, eV/atom: -7.351
ρ, g cm⁻³: 7.64
Energy of formation from the pure elements, kJ per mole of atoms: 33.9

abc: 8.352 8.352 2.389
angles: 90.00 90.00 120.00
Atoms (fractional coordinates):
Cr (0.624, 0.149, 0.250)
Cr (0.476, 0.624, 0.750)
Cr (0.851, 0.476, 0.250)
Cr (0.376, 0.851, 0.750)
Cr (0.524, 0.376, 0.250)
Cr (0.149, 0.524, 0.750)
Ni (0.946, 0.230, 0.250)
Ni (0.716, 0.946, 0.750)
Ni (0.770, 0.716, 0.250)
Ni (0.054, 0.770, 0.750)
Ni (0.284, 0.054, 0.250)
Ni (0.230, 0.284, 0.750)



Q: What is the DFT total energy in the fourth record?
A: -5.199 eV/atom



Q: The lowest DFT total energy belongs to which entry?
A: Y2NpIr9



Q: The lowest ρ belongs to which entry?
A: Ba4PI4